No. 1
# PBE La2Be4SiGe3, relaxed
data_La2Be4SiGe3
_cell_length_a 4.172
_cell_length_b 4.172
_cell_length_c 9.549
_cell_angle_alpha 90.00
_cell_angle_beta 90.00
_cell_angle_gamma 90.00
_space_group_name_H-M_alt 'P -4 m 2'
_space_group_IT_number 115
_space_group_name_Hall 'P -4 -2'
loop_
_atom_site_label
_atom_site_type_symbol
_atom_site_fract_x
_atom_site_fract_y
_atom_site_fract_z
La1 La 0.000 0.500 0.248
Be1 Be 0.000 0.000 0.500
Be2 Be 0.000 0.500 0.878
Be3 Be 0.500 0.500 0.500
Si1 Si 0.500 0.500 0.000
Ge1 Ge 0.000 0.000 0.000
Ge2 Ge 0.000 0.500 0.629
# Total moment (μB/f.u.): 0.00
# E_form (uncorrected) (eV per atom): -0.3908
# V (Å³/cell): 166.21


No. 2
# PBE LaBe2GeW, relaxed
data_LaBe2GeW
_cell_length_a 4.826
_cell_length_b 4.826
_cell_length_c 4.931
_cell_angle_alpha 90.00
_cell_angle_beta 90.00
_cell_angle_gamma 90.00
_space_group_name_H-M_alt 'P 4/m m m'
_space_group_IT_number 123
_space_group_name_Hall '-P 4 2'
loop_
_atom_site_label
_atom_site_type_symbol
_atom_site_fract_x
_atom_site_fract_y
_atom_site_fract_z
La1 La 0.000 0.000 0.000
Be1 Be 0.000 0.500 0.000
Ge1 Ge 0.500 0.500 0.500
W1 W 0.000 0.000 0.500
# Total moment (μB/f.u.): 0.00
# Formation energy from the elements (eV/atom): 2.35
# V (Å³/cell): 114.84


No. 3
# PBE LiBeGe, relaxed
data_LiBeGe
_cell_length_a 7.101
_cell_length_b 4.025
_cell_length_c 6.083
_cell_angle_alpha 90.00
_cell_angle_beta 104.96
_cell_angle_gamma 90.00
_space_group_name_H-M_alt 'C 1 2/m 1'
_space_group_IT_number 12
_space_group_name_Hall '-C 2y'
loop_
_atom_site_label
_atom_site_type_symbol
_atom_site_fract_x
_atom_site_fract_y
_atom_site_fract_z
Li1 Li 0.154 0.000 0.393
Be1 Be 0.224 0.000 0.853
Ge1 Ge 0.041 0.500 0.793
# Total moment (μB/f.u.): 0.00
# Formation energy from the elements (eV/atom): -0.08
# ΔE to the lowest computed polymorph (eV per formula unit): 0.11
# V (Å³/cell): 167.95


No. 4
# PBE Li2BeGe2, relaxed
data_Li2BeGe2
_cell_length_a 6.080
_cell_length_b 6.080
_cell_length_c 4.278
_cell_angle_alpha 90.00
_cell_angle_beta 90.00
_cell_angle_gamma 90.00
_space_group_name_H-M_alt 'P 4/m b m'
_space_group_IT_number 127
_space_group_name_Hall '-P 4 2ab'
loop_
_atom_site_label
_atom_site_type_symbol
_atom_site_fract_x
_atom_site_fract_y
_atom_site_fract_z
Li1 Li 0.162 0.338 0.000
Be1 Be 0.000 0.000 0.500
Ge1 Ge 0.146 0.646 0.500
# Total moment (μB/f.u.): 0.00
# Formation energy from the elements (eV/atom): -0.11
# ΔE to the lowest computed polymorph (eV per formula unit): 0.00
# V (Å³/cell): 158.17


No. 5
# PBE Li2BeGe, relaxed
data_Li2BeGe
_cell_length_a 7.036
_cell_length_b 7.036
_cell_length_c 4.764
_cell_angle_alpha 90.00
_cell_angle_beta 90.00
_cell_angle_gamma 90.00
_space_group_name_H-M_alt 'I -4 2 d'
_space_group_IT_number 122
_space_group_name_Hall 'I -4 2bw'
loop_
_atom_site_label
_atom_site_type_symbol
_atom_site_fract_x
_atom_site_fract_y
_atom_site_fract_z
Li1 Li 0.231 0.750 0.125
Be1 Be 0.000 0.000 0.000
Ge1 Ge 0.000 0.000 0.500
# Total moment (μB/f.u.): 0.00
# Formation energy from the elements (eV/atom): 0.25
# ΔE to the lowest computed polymorph (eV per formula unit): 1.85
# V (Å³/cell): 235.84


No. 6
# PBE Li2BeGe, relaxed
data_Li2BeGe
_cell_length_a 5.824
_cell_length_b 5.824
_cell_length_c 5.824
_cell_angle_alpha 90.00
_cell_angle_beta 90.00
_cell_angle_gamma 90.00
_space_group_name_H-M_alt 'F -4 3 m'
_space_group_IT_number 216
_space_group_name_Hall 'F -4 2 3'
loop_
_atom_site_label
_atom_site_type_symbol
_atom_site_fract_x
_atom_site_fract_y
_atom_site_fract_z
Li1 Li 0.000 0.000 0.000
Li2 Li 0.250 0.250 0.250
Be1 Be 0.250 0.250 0.750
Ge1 Ge 0.000 0.000 0.500
# Total moment (μB/f.u.): 0.00
# Formation energy from the elements (eV/atom): -0.21
# ΔE to the lowest computed polymorph (eV per formula unit): 0.03
# V (Å³/cell): 197.55


No. 7
# PBE Li2BeGe, relaxed
data_Li2BeGe
_cell_length_a 5.907
_cell_length_b 5.907
_cell_length_c 5.907
_cell_angle_alpha 90.00
_cell_angle_beta 90.00
_cell_angle_gamma 90.00
_space_group_name_H-M_alt 'F m -3 m'
_space_group_IT_number 225
_space_group_name_Hall '-F 4 2 3'
loop_
_atom_site_label
_atom_site_type_symbol
_atom_site_fract_x
_atom_site_fract_y
_atom_site_fract_z
Li1 Li 0.250 0.250 0.250
Be1 Be 0.000 0.000 0.000
Ge1 Ge 0.000 0.000 0.500
# Total moment (μB/f.u.): 0.00
# Formation energy from the elements (eV/atom): 0.02
# ΔE to the lowest computed polymorph (eV per formula unit): 0.93
# V (Å³/cell): 206.13


No. 8
# PBE LiBe2Ge, relaxed
data_LiBe2Ge
_cell_length_a 4.188
_cell_length_b 4.188
_cell_length_c 15.131
_cell_angle_alpha 90.00
_cell_angle_beta 90.00
_cell_angle_gamma 90.00
_space_group_name_H-M_alt 'I 41/a m d'
_space_group_IT_number 141
loop_
_space_group_symop_operation_xyz
'x,y,z'
'-x,-y,-z'
'-y+1/4,x+3/4,z+1/4'
'y+1/4,-x+3/4,-z+1/4'
'-x+1/2,-y,z+1/2'
'x+1/2,y,-z+1/2'
'y+1/4,-x+1/4,z+3/4'
'-y+1/4,x+1/4,-z+3/4'
'x,-y,-z'
'-x,y,z'
'-y+1/4,-x+1/4,-z+3/4'
'y+1/4,x+1/4,z+3/4'
'-x+1/2,y,-z+1/2'
'x+1/2,-y,z+1/2'
'y+1/4,x+3/4,-z+1/4'
'-y+1/4,-x+3/4,z+1/4'
'x+1/2,y+1/2,z+1/2'
'-x+1/2,-y+1/2,-z+1/2'
'-y+3/4,x+1/4,z+3/4'
'y+3/4,-x+1/4,-z+3/4'
'-x,-y+1/2,z'
'x,y+1/2,-z'
'y+3/4,-x+3/4,z+1/4'
'-y+3/4,x+3/4,-z+1/4'
'x+1/2,-y+1/2,-z+1/2'
'-x+1/2,y+1/2,z+1/2'
'-y+3/4,-x+3/4,-z+1/4'
'y+3/4,x+3/4,z+1/4'
'-x,y+1/2,-z'
'x,-y+1/2,z'
'y+3/4,x+1/4,-z+3/4'
'-y+3/4,-x+1/4,z+3/4'
loop_
_atom_site_label
_atom_site_type_symbol
_atom_site_fract_x
_atom_site_fract_y
_atom_site_fract_z
Li1 Li 0.000 0.250 0.375
Be1 Be 0.000 0.000 0.000
Ge1 Ge 0.000 0.250 0.875
# Total moment (μB/f.u.): 0.00
# Formation energy from the elements (eV/atom): 0.37
# V (Å³/cell): 265.35


No. 9
# PBE Li3BeGe, relaxed
data_Li3BeGe
_cell_length_a 4.395
_cell_length_b 4.395
_cell_length_c 4.395
_cell_angle_alpha 90.00
_cell_angle_beta 90.00
_cell_angle_gamma 90.00
_space_group_name_H-M_alt 'P m -3 m'
_space_group_IT_number 221
_space_group_name_Hall '-P 4 2 3'
loop_
_atom_site_label
_atom_site_type_symbol
_atom_site_fract_x
_atom_site_fract_y
_atom_site_fract_z
Li1 Li 0.000 0.000 0.500
Be1 Be 0.000 0.000 0.000
Ge1 Ge 0.500 0.500 0.500
# Total moment (μB/f.u.): 0.00
# Formation energy from the elements (eV/atom): 0.47
# ΔE to the lowest computed polymorph (eV per formula unit): 0.00
# V (Å³/cell): 84.92


No. 10
# PBE Li3BeGe, relaxed
data_Li3BeGe
_cell_length_a 4.726
_cell_length_b 4.726
_cell_length_c 4.726
_cell_angle_alpha 90.00
_cell_angle_beta 90.00
_cell_angle_gamma 90.00
_space_group_name_H-M_alt 'P m -3 m'
_space_group_IT_number 221
_space_group_name_Hall '-P 4 2 3'
loop_
_atom_site_label
_atom_site_type_symbol
_atom_site_fract_x
_atom_site_fract_y
_atom_site_fract_z
Li1 Li 0.000 0.000 0.500
Be1 Be 0.500 0.500 0.500
Ge1 Ge 0.000 0.000 0.000
# Total moment (μB/f.u.): 0.00
# Formation energy from the elements (eV/atom): 0.55
# ΔE to the lowest computed polymorph (eV per formula unit): 0.42
# V (Å³/cell): 105.57


No. 11
# PBE LiBeGe, relaxed
data_LiBeGe
_cell_length_a 4.045
_cell_length_b 3.705
_cell_length_c 5.995
_cell_angle_alpha 90.00
_cell_angle_beta 97.37
_cell_angle_gamma 90.00
_space_group_name_H-M_alt 'P 1 21/m 1'
_space_group_IT_number 11
_space_group_name_Hall '-P 2yb'
loop_
_atom_site_label
_atom_site_type_symbol
_atom_site_fract_x
_atom_site_fract_y
_atom_site_fract_z
Li1 Li 0.244 0.250 0.162
Be1 Be 0.341 0.750 0.485
Ge1 Ge 0.208 0.250 0.703
# Total moment (μB/f.u.): 0.00
# Formation energy from the elements (eV/atom): -0.10
# ΔE to the lowest computed polymorph (eV per formula unit): 0.05
# V (Å³/cell): 89.09


No. 12
# PBE LiBeGe, relaxed
data_LiBeGe
_cell_length_a 3.9970
_cell_length_b 3.9970
_cell_length_c 5.8352
_cell_angle_alpha 90.00
_cell_angle_beta 90.00
_cell_angle_gamma 120.00
_space_group_name_H-M_alt 'P 63 m c'
_space_group_IT_number 186
_space_group_name_Hall 'P 6c -2c'
loop_
_atom_site_label
_atom_site_type_symbol
_atom_site_fract_x
_atom_site_fract_y
_atom_site_fract_z
Li1 Li 0.0000 0.0000 0.0000
Be1 Be 0.3333 0.6667 0.2532
Ge1 Ge 0.3333 0.6667 0.7491
# Total moment (μB/f.u.): 0.00
# Formation energy from the elements (eV/atom): -0.08
# ΔE to the lowest computed polymorph (eV per formula unit): 0.08
# V (Å³/cell): 80.73


Which of these has the lowest V?
number 12


Number 9 is which compound?
Li3BeGe


Repeat the seventh record exactly.
# PBE Li2BeGe, relaxed
data_Li2BeGe
_cell_length_a 5.907
_cell_length_b 5.907
_cell_length_c 5.907
_cell_angle_alpha 90.00
_cell_angle_beta 90.00
_cell_angle_gamma 90.00
_space_group_name_H-M_alt 'F m -3 m'
_space_group_IT_number 225
_space_group_name_Hall '-F 4 2 3'
loop_
_atom_site_label
_atom_site_type_symbol
_atom_site_fract_x
_atom_site_fract_y
_atom_site_fract_z
Li1 Li 0.250 0.250 0.250
Be1 Be 0.000 0.000 0.000
Ge1 Ge 0.000 0.000 0.500
# Total moment (μB/f.u.): 0.00
# Formation energy from the elements (eV/atom): 0.02
# ΔE to the lowest computed polymorph (eV per formula unit): 0.93
# V (Å³/cell): 206.13